(1)
# Al4Cr PBE-GGA optimized geometry
# Energy above the lowest structure with this stoichiometry   685.3 meV per atom
# Formation energy   0.610 eV/atom
data_Al4Cr
_chemical_formula_sum 'Al4 Cr1'
_cell_length_a 4.6961
_cell_length_b 4.6961
_cell_length_c 4.6961
_cell_angle_alpha 90.00
_cell_angle_beta 90.00
_cell_angle_gamma 90.00
_symmetry_space_group_name_H-M 'P m -3 m'
_symmetry_Int_Tables_number 221
_symmetry_space_group_name_Hall '-P 4 2 3'
loop_
_atom_site_label
_atom_site_type_symbol
_atom_site_fract_x
_atom_site_fract_y
_atom_site_fract_z
Al1 Al 0.0000 0.0000 0.0000
Al2 Al 0.0000 0.5000 0.5000
Cr1 Cr 0.5000 0.5000 0.5000

(2)
# CdSbAs2 PBE-GGA optimized geometry
# Energy relative to the elements, uncorrected   18.8 kJ/mol of atoms
# Energy above the lowest structure with this stoichiometry   149.6 meV per atom
data_CdSbAs2
_chemical_formula_sum 'Cd2 Sb2 As4'
_cell_length_a 11.9924
_cell_length_b 3.6484
_cell_length_c 4.7260
_cell_angle_alpha 90.00
_cell_angle_beta 111.78
_cell_angle_gamma 90.00
_symmetry_space_group_name_H-M 'C 1 m 1'
_symmetry_Int_Tables_number 8
_symmetry_space_group_name_Hall 'C -2y'
loop_
_atom_site_label
_atom_site_type_symbol
_atom_site_fract_x
_atom_site_fract_y
_atom_site_fract_z
Cd1 Cd 0.0000 0.0000 0.0000
Sb1 Sb 0.3046 0.5000 0.3869
As1 As 0.0353 0.5000 0.4984
As2 As 0.2093 0.0000 0.7283

(3)
# CaYNi3 PBE-GGA optimized geometry
# Energy above the lowest structure with this stoichiometry   100.5 meV per atom
# Formation energy   0.750 eV/atom
data_CaYNi3
_chemical_formula_sum 'Ca1 Y1 Ni3'
_cell_length_a 4.6561
_cell_length_b 4.6561
_cell_length_c 4.6561
_cell_angle_alpha 90.00
_cell_angle_beta 90.00
_cell_angle_gamma 90.00
_symmetry_space_group_name_H-M 'P m -3 m'
_symmetry_Int_Tables_number 221
_symmetry_space_group_name_Hall '-P 4 2 3'
loop_
_atom_site_label
_atom_site_type_symbol
_atom_site_fract_x
_atom_site_fract_y
_atom_site_fract_z
Ca1 Ca 0.0000 0.0000 0.0000
Y1 Y 0.5000 0.5000 0.5000
Ni1 Ni 0.0000 0.0000 0.5000

(4)
# La4Hg2Sb PBE-GGA optimized geometry
# Energy relative to the elements, uncorrected   -46.6 kJ/mol of atoms
data_La4Hg2Sb
_chemical_formula_sum 'La12 Hg6 Sb3'
_cell_length_a 5.4531
_cell_length_b 5.4531
_cell_length_c 27.1939
_cell_angle_alpha 90.00
_cell_angle_beta 90.00
_cell_angle_gamma 120.00
_symmetry_space_group_name_H-M 'R -3 m'
_symmetry_Int_Tables_number 166
_symmetry_space_group_name_Hall '-R 3 2"'
loop_
_atom_site_label
_atom_site_type_symbol
_atom_site_fract_x
_atom_site_fract_y
_atom_site_fract_z
La1 La 0.0000 0.0000 0.1241
La2 La 0.0000 0.0000 0.3763
Hg1 Hg 0.0000 0.0000 0.2411
Sb1 Sb 0.0000 0.0000 0.0000

(5)
# GaFe3H PBE-GGA optimized geometry
# Final energy   -64.10 eV/cell
data_GaFe3H
_chemical_formula_sum 'Ga2 Fe6 H2'
_cell_length_a 4.2668
_cell_length_b 5.1453
_cell_length_c 4.5948
_cell_angle_alpha 90.00
_cell_angle_beta 92.09
_cell_angle_gamma 90.00
_symmetry_space_group_name_H-M 'P 1 21/m 1'
_symmetry_Int_Tables_number 11
_symmetry_space_group_name_Hall '-P 2yb'
loop_
_atom_site_label
_atom_site_type_symbol
_atom_site_fract_x
_atom_site_fract_y
_atom_site_fract_z
Ga1 Ga 0.2437 0.2500 0.3470
Fe1 Fe 0.2430 0.0038 0.8373
Fe2 Fe 0.2431 0.7500 0.3414
H1 H 0.4586 0.7500 0.0397

(6)
# La4Ag PBE-GGA optimized geometry
# Energy above the lowest structure with this stoichiometry   84.3 meV per atom
# Formation energy   -0.013 eV/atom
data_La4Ag
_chemical_formula_sum 'La8 Ag2'
_cell_length_a 7.9345
_cell_length_b 7.9345
_cell_length_c 5.0125
_cell_angle_alpha 90.00
_cell_angle_beta 90.00
_cell_angle_gamma 90.00
_symmetry_space_group_name_H-M 'I 4/m'
_symmetry_Int_Tables_number 87
_symmetry_space_group_name_Hall '-I 4'
loop_
_atom_site_label
_atom_site_type_symbol
_atom_site_fract_x
_atom_site_fract_y
_atom_site_fract_z
La1 La 0.1086 0.7009 0.0000
Ag1 Ag 0.0000 0.0000 0.5000